a) Li4Ag3Pd | PBE-GGA | relaxed

```
Li4Ag3Pd
1.0
3.035 0.000 0.000
0.000 3.035 0.000
0.000 0.000 13.287
Ag Li Pd
3 4 1
direct
0.500 0.500 0.500
0.500 0.500 0.761
0.500 0.500 0.239
0.000 0.000 0.110
0.000 0.000 0.369
0.000 0.000 0.890
0.000 0.000 0.631
0.500 0.500 0.000
```

Results
calculated volume = 15.3 A^3/atom
SG = P4/mmm


b) Li4Ag3Pd | PBE-GGA | relaxed

```
Li4Ag3Pd
1.0
-3.639 -1.652 -0.773
0.104 -1.886 3.546
-1.694 6.128 5.594
Ag Li Pd
3 4 1
direct
0.000 0.500 0.000
0.129 0.871 0.259
0.871 0.129 0.741
0.613 0.387 0.227
0.749 0.751 0.498
0.251 0.249 0.502
0.387 0.613 0.773
0.500 0.000 0.000
```

Results
calculated volume = 16.3 A^3/atom
SG = Immm


What should be chosen as the most stable of them? Choose a).


a) Li4Ag2Pd | PBE-GGA | relaxed

```
Li4Ag2Pd
1.0
4.609 0.000 0.000
0.000 4.609 0.000
2.304 2.304 6.642
Li Pd Ag
4 1 2
direct
0.000 0.500 0.000
0.500 0.000 0.000
0.812 0.812 0.375
0.188 0.188 0.625
0.000 0.000 0.000
0.390 0.390 0.219
0.610 0.610 0.781
```

Results
calculated volume = 20.2 A^3/atom
SG = I4/mmm


b) Li4Ag2Pd | PBE-GGA | relaxed

```
Li4Ag2Pd
1.0
-3.754 2.368 4.953
-1.315 -6.462 -0.864
6.435 0.757 1.499
Pd Li Ag
2 8 4
direct
0.000 0.000 0.000
0.750 0.500 0.250
0.107 0.897 0.361
0.639 0.747 0.536
0.464 0.103 0.210
0.790 0.253 0.893
0.286 0.247 0.889
0.111 0.397 0.357
0.643 0.753 0.040
0.960 0.603 0.714
0.375 0.865 0.740
0.260 0.635 0.125
0.875 0.135 0.510
0.490 0.365 0.625
```

Results
calculated volume = 16.2 A^3/atom
SG = I-42d


What should be chosen as the most stable of them? Choose b).


a) LiAgPd5 | PBE-GGA | relaxed

```
LiAgPd5
1.0
-2.546 -2.576 3.206
0.280 -2.192 -4.303
4.563 -2.534 1.587
Li Pd Ag
1 5 1
direct
0.500 0.500 0.500
0.500 0.000 0.251
0.000 0.000 0.500
0.000 0.500 0.749
0.500 0.000 0.749
0.000 0.500 0.251
0.000 0.000 0.000
```

Results
calculated volume = 16.9 A^3/atom
SG = Cmmm


b) LiAgPd5 | PBE-GGA | relaxed

```
LiAgPd5
1.0
-5.575 4.660 -1.522
-3.885 -4.313 1.023
4.564 0.898 4.138
Pd Li Ag
5 1 1
direct
0.639 0.774 0.548
0.205 0.500 0.000
0.904 0.283 0.000
0.904 0.717 0.000
0.091 0.226 0.452
0.208 0.000 0.000
0.579 0.500 0.000
```

Results
calculated volume = 25.2 A^3/atom
SG = Imm2


What should be chosen as the most stable of them? Choose a).